#A
Crystalline CoAsAuO at its relaxed geometry. Source: OQMD via LeMat-Bulk, functional PBE+U.

Cell and atoms, written as CIF:
```
data_CoAsAuO
_chemical_formula_sum 'Co2 As2 Au2 O2'
_symmetry_space_group_name_H-M 'P 4/n m m'
_symmetry_Int_Tables_number 129
_cell_length_a 3.578
_cell_length_b 3.578
_cell_length_c 9.282
_cell_angle_alpha 90.00
_cell_angle_beta 90.00
_cell_angle_gamma 90.00
loop_
_symmetry_equiv_pos_as_xyz
'x,y,z'
'-x,-y,-z'
'-y+1/2,x,z'
'y+1/2,-x,-z'
'-x+1/2,-y+1/2,z'
'x+1/2,y+1/2,-z'
'y,-x+1/2,z'
'-y,x+1/2,-z'
'x+1/2,-y,-z'
'-x+1/2,y,z'
'-y,-x,-z'
'y,x,z'
'-x,y+1/2,-z'
'x,-y+1/2,z'
'y+1/2,x+1/2,-z'
'-y+1/2,-x+1/2,z'
loop_
_atom_site_label
_atom_site_fract_x
_atom_site_fract_y
_atom_site_fract_z
_atom_site_occupancy
Co1 0.250 0.750 0.000 1
As1 0.250 0.250 0.374 1
Au1 0.250 0.250 0.790 1
O1 0.250 0.750 0.500 1
```

Summary:
magnetic moment	0.554	μB per atom

***

#B
Crystalline CoAsAuO at its relaxed geometry. Source: OQMD via LeMat-Bulk, functional PBE+U.

Cell and atoms, written as CIF:
```
data_CoAsAuO
_chemical_formula_sum 'Co2 As2 Au2 O2'
_symmetry_space_group_name_H-M 'P m c 21'
_symmetry_Int_Tables_number 26
_cell_length_a 3.544
_cell_length_b 7.183
_cell_length_c 5.398
_cell_angle_alpha 90.00
_cell_angle_beta 90.00
_cell_angle_gamma 90.00
loop_
_symmetry_equiv_pos_as_xyz
'x,y,z'
'-x,-y,z+1/2'
'-x,y,z'
'x,-y,z+1/2'
loop_
_atom_site_label
_atom_site_fract_x
_atom_site_fract_y
_atom_site_fract_z
_atom_site_occupancy
Co1 0.000 0.148 0.000 1
As1 0.500 0.352 0.867 1
Au1 0.500 0.307 0.392 1
O1 0.000 0.079 0.337 1
```

Summary:
magnetic moment	0.598	μB per atom

***

Of them, #B has the highest stability.

***

#A
Crystalline CoAsAuO at its relaxed geometry. Source: OQMD via LeMat-Bulk, functional PBE+U.

Cell and atoms, written as CIF:
```
data_CoAsAuO
_chemical_formula_sum 'Co2 As2 Au2 O2'
_symmetry_space_group_name_H-M 'P 4/n m m'
_symmetry_Int_Tables_number 129
_cell_length_a 4.046
_cell_length_b 4.046
_cell_length_c 8.772
_cell_angle_alpha 90.00
_cell_angle_beta 90.00
_cell_angle_gamma 90.00
loop_
_symmetry_equiv_pos_as_xyz
'x,y,z'
'-x,-y,-z'
'-y+1/2,x,z'
'y+1/2,-x,-z'
'-x+1/2,-y+1/2,z'
'x+1/2,y+1/2,-z'
'y,-x+1/2,z'
'-y,x+1/2,-z'
'x+1/2,-y,-z'
'-x+1/2,y,z'
'-y,-x,-z'
'y,x,z'
'-x,y+1/2,-z'
'x,-y+1/2,z'
'y+1/2,x+1/2,-z'
'-y+1/2,-x+1/2,z'
loop_
_atom_site_label
_atom_site_fract_x
_atom_site_fract_y
_atom_site_fract_z
_atom_site_occupancy
Co1 0.250 0.250 0.038 1
As1 0.250 0.250 0.313 1
Au1 0.250 0.750 0.500 1
O1 0.250 0.750 0.000 1
```

Summary:
magnetic moment	0.601	μB per atom

***

#B
Crystalline CoAsAuO at its relaxed geometry. Source: OQMD via LeMat-Bulk, functional PBE+U.

Cell and atoms, written as CIF:
```
data_CoAsAuO
_chemical_formula_sum 'Co2 As2 Au2 O2'
_symmetry_space_group_name_H-M 'P 4/n m m'
_symmetry_Int_Tables_number 129
_cell_length_a 3.875
_cell_length_b 3.875
_cell_length_c 6.912
_cell_angle_alpha 90.00
_cell_angle_beta 90.00
_cell_angle_gamma 90.00
loop_
_symmetry_equiv_pos_as_xyz
'x,y,z'
'-x,-y,-z'
'-y+1/2,x,z'
'y+1/2,-x,-z'
'-x+1/2,-y+1/2,z'
'x+1/2,y+1/2,-z'
'y,-x+1/2,z'
'-y,x+1/2,-z'
'x+1/2,-y,-z'
'-x+1/2,y,z'
'-y,-x,-z'
'y,x,z'
'-x,y+1/2,-z'
'x,-y+1/2,z'
'y+1/2,x+1/2,-z'
'-y+1/2,-x+1/2,z'
loop_
_atom_site_label
_atom_site_fract_x
_atom_site_fract_y
_atom_site_fract_z
_atom_site_occupancy
Co1 0.250 0.750 0.000 1
As1 0.250 0.250 0.191 1
Au1 0.250 0.250 0.692 1
O1 0.250 0.750 0.500 1
```

Summary:
magnetic moment	0.253	μB per atom

***

#C
Crystalline CoAsAuO at its relaxed geometry. Source: OQMD via LeMat-Bulk, functional PBE+U.

Cell and atoms, written as CIF:
```
data_CoAsAuO
_chemical_formula_sum 'Co2 As2 Au2 O2'
_symmetry_space_group_name_H-M 'P m c 21'
_symmetry_Int_Tables_number 26
_cell_length_a 3.505
_cell_length_b 6.479
_cell_length_c 6.236
_cell_angle_alpha 90.00
_cell_angle_beta 90.00
_cell_angle_gamma 90.00
loop_
_symmetry_equiv_pos_as_xyz
'x,y,z'
'-x,-y,z+1/2'
'-x,y,z'
'x,-y,z+1/2'
loop_
_atom_site_label
_atom_site_fract_x
_atom_site_fract_y
_atom_site_fract_z
_atom_site_occupancy
Co1 0.000 0.247 0.000 1
As1 0.000 0.097 0.366 1
Au1 0.500 0.355 0.448 1
O1 0.500 0.310 0.934 1
```

Summary:
magnetic moment	0.519	μB per atom

***

Of them, #A has the highest stability.